No. 1
# Cs2BaScTe (PBE-GGA, optimized geometry)
data_Cs2BaScTe
_space_group_name_H-M_alt 'P 1'
_space_group_IT_number 1
_cell_length_a 8.3467
_cell_length_b 8.3467
_cell_length_c 6.3496
_cell_angle_alpha 90.00
_cell_angle_beta 90.00
_cell_angle_gamma 90.00
loop_
_space_group_symop_operation_xyz
'x,y,z'
loop_
_atom_site_label
_atom_site_type_symbol
_atom_site_fract_x
_atom_site_fract_y
_atom_site_fract_z
Cs1 Cs 0.0000 0.5000 0.0000
Cs2 Cs 0.5000 0.0000 0.0000
Ba1 Ba 0.0000 0.0000 0.0000
Sc1 Sc 0.5000 0.5000 0.5000
Te1 Te 0.0000 0.0000 0.5000
# - space-group type = P4/mmm, No. 123



No. 2
# CsBa3Se (PBE-GGA, optimized geometry)
data_CsBa3Se
_space_group_name_H-M_alt 'P 1'
_space_group_IT_number 1
_cell_length_a 6.3372
_cell_length_b 6.3372
_cell_length_c 6.3372
_cell_angle_alpha 90.00
_cell_angle_beta 90.00
_cell_angle_gamma 90.00
loop_
_space_group_symop_operation_xyz
'x,y,z'
loop_
_atom_site_label
_atom_site_type_symbol
_atom_site_fract_x
_atom_site_fract_y
_atom_site_fract_z
Cs1 Cs 0.0000 0.0000 0.0000
Ba1 Ba 0.0000 0.0000 0.5000
Ba2 Ba 0.0000 0.5000 0.0000
Ba3 Ba 0.5000 0.0000 0.0000
Se1 Se 0.5000 0.5000 0.5000
# - space-group type = Pm-3m, No. 221
# - offset from the most stable computed form (meV/atom) = 1148



No. 3
# Cs2BaSe10 (PBE-GGA, optimized geometry)
data_Cs2BaSe10
_space_group_name_H-M_alt 'P 1'
_space_group_IT_number 1
_cell_length_a 7.4758
_cell_length_b 6.8100
_cell_length_c 18.9753
_cell_angle_alpha 90.00
_cell_angle_beta 108.15
_cell_angle_gamma 90.00
loop_
_space_group_symop_operation_xyz
'x,y,z'
loop_
_atom_site_label
_atom_site_type_symbol
_atom_site_fract_x
_atom_site_fract_y
_atom_site_fract_z
Cs1 Cs 0.0237 0.0067 0.1504
Cs2 Cs 0.0237 0.4933 0.6504
Cs3 Cs 0.9763 0.5067 0.3496
Cs4 Cs 0.9763 0.9933 0.8496
Ba1 Ba 0.5000 0.0000 0.5000
Ba2 Ba 0.5000 0.5000 0.0000
Se1 Se 0.1176 0.0064 0.3562
Se2 Se 0.1176 0.4936 0.8562
Se3 Se 0.1314 0.5081 0.0920
Se4 Se 0.1314 0.9919 0.5920
Se5 Se 0.3971 0.5287 0.5367
Se6 Se 0.3971 0.9713 0.0367
Se7 Se 0.4207 0.1101 0.6835
Se8 Se 0.4207 0.3899 0.1835
Se9 Se 0.4475 0.0589 0.8122
Se10 Se 0.4475 0.4411 0.3122
Se11 Se 0.5525 0.5589 0.6878
Se12 Se 0.5525 0.9411 0.1878
Se13 Se 0.5793 0.6101 0.8165
Se14 Se 0.5793 0.8899 0.3165
Se15 Se 0.6029 0.0287 0.9633
Se16 Se 0.6029 0.4713 0.4633
Se17 Se 0.8686 0.0081 0.4080
Se18 Se 0.8686 0.4919 0.9080
Se19 Se 0.8824 0.5064 0.1438
Se20 Se 0.8824 0.9936 0.6438
# - space-group type = P2_1/c, No. 14



No. 4
# Cs2Ba2Se (PBE-GGA, optimized geometry)
data_Cs2Ba2Se
_space_group_name_H-M_alt 'P 1'
_space_group_IT_number 1
_cell_length_a 8.9091
_cell_length_b 8.9091
_cell_length_c 8.6242
_cell_angle_alpha 90.00
_cell_angle_beta 90.00
_cell_angle_gamma 90.00
loop_
_space_group_symop_operation_xyz
'x,y,z'
loop_
_atom_site_label
_atom_site_type_symbol
_atom_site_fract_x
_atom_site_fract_y
_atom_site_fract_z
Cs1 Cs 0.1779 0.3221 0.0000
Cs2 Cs 0.3221 0.8221 0.0000
Cs3 Cs 0.6779 0.1779 0.0000
Cs4 Cs 0.8221 0.6779 0.0000
Ba1 Ba 0.1879 0.6879 0.5000
Ba2 Ba 0.3121 0.1879 0.5000
Ba3 Ba 0.6879 0.8121 0.5000
Ba4 Ba 0.8121 0.3121 0.5000
Se1 Se 0.0000 0.0000 0.5000
Se2 Se 0.5000 0.5000 0.5000
# - space-group type = P4/mbm, No. 127



No. 5
# CsBa2Se2 (PBE-GGA, optimized geometry)
data_CsBa2Se2
_space_group_name_H-M_alt 'P 1'
_space_group_IT_number 1
_cell_length_a 9.4117
_cell_length_b 9.4117
_cell_length_c 4.0694
_cell_angle_alpha 90.00
_cell_angle_beta 90.00
_cell_angle_gamma 90.00
loop_
_space_group_symop_operation_xyz
'x,y,z'
loop_
_atom_site_label
_atom_site_type_symbol
_atom_site_fract_x
_atom_site_fract_y
_atom_site_fract_z
Cs1 Cs 0.0000 0.0000 0.0000
Cs2 Cs 0.5000 0.5000 0.0000
Ba1 Ba 0.1367 0.3633 0.0000
Ba2 Ba 0.3633 0.8633 0.0000
Ba3 Ba 0.6367 0.1367 0.0000
Ba4 Ba 0.8633 0.6367 0.0000
Se1 Se 0.1606 0.6606 0.5000
Se2 Se 0.3394 0.1606 0.5000
Se3 Se 0.6606 0.8394 0.5000
Se4 Se 0.8394 0.3394 0.5000
# - space-group type = P4/mbm, No. 127
# - offset from the most stable computed form (meV/atom) = 145



No. 6
# CsBaSe4 (PBE-GGA, optimized geometry)
data_CsBaSe4
_space_group_name_H-M_alt 'P 1'
_space_group_IT_number 1
_cell_length_a 9.0568
_cell_length_b 9.0568
_cell_length_c 9.0568
_cell_angle_alpha 123.90
_cell_angle_beta 123.90
_cell_angle_gamma 83.36
loop_
_space_group_symop_operation_xyz
'x,y,z'
loop_
_atom_site_label
_atom_site_type_symbol
_atom_site_fract_x
_atom_site_fract_y
_atom_site_fract_z
Cs1 Cs 0.3750 0.1250 0.2500
Cs2 Cs 0.6250 0.8750 0.7500
Ba1 Ba 0.1250 0.3750 0.7500
Ba2 Ba 0.8750 0.6250 0.2500
Se1 Se 0.0198 0.7526 0.0557
Se2 Se 0.1969 0.9641 0.4443
Se3 Se 0.2526 0.6969 0.7328
Se4 Se 0.4641 0.5198 0.7672
Se5 Se 0.5359 0.4802 0.2328
Se6 Se 0.7474 0.3031 0.2672
Se7 Se 0.8031 0.0359 0.5557
Se8 Se 0.9802 0.2474 0.9443
# - space-group type = I4_1/a, No. 88



No. 7
# CsBaSe2 (PBE-GGA, optimized geometry)
data_CsBaSe2
_space_group_name_H-M_alt 'P 1'
_space_group_IT_number 1
_cell_length_a 7.9325
_cell_length_b 7.9325
_cell_length_c 14.9177
_cell_angle_alpha 90.00
_cell_angle_beta 90.00
_cell_angle_gamma 90.00
loop_
_space_group_symop_operation_xyz
'x,y,z'
loop_
_atom_site_label
_atom_site_type_symbol
_atom_site_fract_x
_atom_site_fract_y
_atom_site_fract_z
Cs1 Cs 0.0000 0.0000 0.0000
Cs2 Cs 0.0000 0.5000 0.2500
Cs3 Cs 0.5000 0.0000 0.7500
Cs4 Cs 0.5000 0.5000 0.5000
Ba1 Ba 0.0000 0.0000 0.5000
Ba2 Ba 0.0000 0.5000 0.7500
Ba3 Ba 0.5000 0.0000 0.2500
Ba4 Ba 0.5000 0.5000 0.0000
Se1 Se 0.2038 0.2500 0.6250
Se2 Se 0.2500 0.7038 0.8750
Se3 Se 0.2500 0.7962 0.3750
Se4 Se 0.2962 0.2500 0.1250
Se5 Se 0.7038 0.7500 0.1250
Se6 Se 0.7500 0.2038 0.3750
Se7 Se 0.7500 0.2962 0.8750
Se8 Se 0.7962 0.7500 0.6250
# - space-group type = I-42d, No. 122



No. 8
# Cs2BaSe2 (PBE-GGA, optimized geometry)
data_Cs2BaSe2
_space_group_name_H-M_alt 'P 1'
_space_group_IT_number 1
_cell_length_a 9.1290
_cell_length_b 9.1290
_cell_length_c 5.2469
_cell_angle_alpha 90.00
_cell_angle_beta 90.00
_cell_angle_gamma 90.00
loop_
_space_group_symop_operation_xyz
'x,y,z'
loop_
_atom_site_label
_atom_site_type_symbol
_atom_site_fract_x
_atom_site_fract_y
_atom_site_fract_z
Cs1 Cs 0.1343 0.3657 0.0000
Cs2 Cs 0.3657 0.8657 0.0000
Cs3 Cs 0.6343 0.1343 0.0000
Cs4 Cs 0.8657 0.6343 0.0000
Ba1 Ba 0.0000 0.0000 0.5000
Ba2 Ba 0.5000 0.5000 0.5000
Se1 Se 0.1826 0.6826 0.5000
Se2 Se 0.3174 0.1826 0.5000
Se3 Se 0.6826 0.8174 0.5000
Se4 Se 0.8174 0.3174 0.5000
# - space-group type = P4/mbm, No. 127



Which calculated total energy belongs to each record? In order, -2.1894, -1.4840, -3.5345, -2.3394, -3.5831, -3.6948, -3.5171, -3.2866 eV per atom.
Which raw formation energy belongs to each record? In order, 0.431, 0.537, -0.575, -0.532, -1.249, -0.909, -1.081, -1.167 eV/atom.